# 1
Here is an optimized crystal structure of RbFe3 from OQMD. Energies are from PBE.

Values from the calculation:
Total magnetic moment in μB/f.u.: 8.23
Total DFT energy (no corrections) in eV per cell: -19.682

abc: 4.121 4.121 4.121
angles: 90.00 90.00 90.00
Positions (direct):
1 Rb 0.000 0.000 0.000
2 Fe 0.000 0.500 0.500
3 Fe 0.500 0.000 0.500
4 Fe 0.500 0.500 0.000



# 2
Here is an optimized crystal structure of Li2ErB2 from OQMD. Energies are from PBE.

Values from the calculation:
Total magnetic moment in μB/f.u.: 0.00
Total DFT energy (no corrections) in eV per cell: -22.021

abc: 3.807 3.807 5.627
angles: 109.70 109.70 59.94
Positions (direct):
1 Li 0.190 0.190 0.071
2 Li 0.810 0.810 0.929
3 Er 0.000 0.000 0.500
4 B 0.449 0.449 0.846
5 B 0.551 0.551 0.154



# 3
Here is an optimized crystal structure of TaNiBW from OQMD. Energies are from PBE.

Values from the calculation:
Excess energy over the best structure of this formula in the dataset in eV/atom: 0.553
Total magnetic moment in μB/f.u.: 0.00
Total DFT energy (no corrections) in eV per cell: -33.858

abc: 4.257 4.257 4.257
angles: 60.00 60.00 60.00
Positions (direct):
1 Ta 0.000 0.000 0.000
2 Ni 0.500 0.500 0.500
3 B 0.250 0.250 0.250
4 W 0.750 0.750 0.750



# 4
Here is an optimized crystal structure of CsSmO3 from OQMD. Energies are from PBE.

Values from the calculation:
Total magnetic moment in μB/f.u.: 2.00
Total DFT energy (no corrections) in eV per cell: -29.275

abc: 4.584 4.584 4.588
angles: 90.00 90.00 90.00
Positions (direct):
1 Cs 0.000 0.000 0.000
2 Sm 0.500 0.500 0.497
3 O 0.000 0.500 0.502
4 O 0.500 0.000 0.502
5 O 0.500 0.500 0.997